# 1
Compound: TaNb2Ni6
Source: the Alexandria database
Functional: GGA-PBE
Structure: relaxed

abc: 5.052 5.052 5.555
angles: 90.06 90.06 59.96
Positions (direct):
Ta 0.000 0.000 0.000
Nb 0.333 0.333 0.868
Nb 0.667 0.667 0.132
Ni 0.176 0.176 0.333
Ni 0.176 0.648 0.332
Ni 0.352 0.824 0.668
Ni 0.648 0.176 0.332
Ni 0.824 0.352 0.668
Ni 0.824 0.824 0.667

Values from the calculation:
Mass density: 9.7 Mg/m³
Formation energy from the elements: -81 meV per atom
Electronic total energy: -7.49 eV/atom

=====

# 2
Compound: ScZn11Ge
Source: the Alexandria database
Functional: GGA-PBE
Structure: relaxed

abc: 6.812 6.812 6.749
angles: 98.46 98.46 134.64
Positions (direct):
Sc 0.000 0.000 0.000
Zn 0.000 0.500 0.000
Zn 0.004 0.362 0.350
Zn 0.301 0.514 0.792
Zn 0.362 0.004 0.350
Zn 0.486 0.699 0.208
Zn 0.500 0.000 0.000
Zn 0.500 0.500 0.500
Zn 0.514 0.301 0.792
Zn 0.638 0.996 0.650
Zn 0.699 0.486 0.208
Zn 0.996 0.638 0.650
Ge 0.000 0.000 0.500

Values from the calculation:
Mass density: 6.7 Mg/m³
Formation energy from the elements: -56 meV per atom
Electronic total energy: -1.98 eV/atom

=====

# 3
Compound: KBe2Os
Source: the Alexandria database
Functional: GGA-PBE
Structure: relaxed

abc: 2.530 5.023 9.978
angles: 90.00 90.00 90.00
Positions (direct):
K 0.000 0.000 0.000
K 0.500 0.500 0.500
Be 0.000 0.000 0.509
Be 0.000 0.500 0.799
Be 0.500 0.000 0.299
Be 0.500 0.500 0.009
Os 0.000 0.500 0.202
Os 0.500 0.000 0.702

Values from the calculation:
Excess energy over the best structure of this formula in the dataset: 596 meV per atom
Mass density: 6.5 Mg/m³
Formation energy from the elements: 911 meV per atom
Electronic total energy: -4.03 eV/atom

=====

# 4
Compound: PrPu2Al2Ge2
Source: the Alexandria database
Functional: GGA-PBE
Structure: relaxed

abc: 9.756 9.756 9.756
angles: 25.11 25.11 25.11
Positions (direct):
Pr 0.000 0.000 0.000
Pu 0.160 0.160 0.160
Pu 0.840 0.840 0.840
Al 0.427 0.427 0.427
Al 0.573 0.573 0.573
Ge 0.267 0.267 0.267
Ge 0.733 0.733 0.733

Values from the calculation:
Mass density: 9.3 Mg/m³
Formation energy from the elements: -200 meV per atom
Electronic total energy: -7.37 eV/atom

=====

# 5
Compound: Ca3BiAu8
Source: the Alexandria database
Functional: GGA-PBE
Structure: relaxed

abc: 5.651 5.651 9.523
angles: 90.00 90.00 120.00
Positions (direct):
Ca 0.000 0.000 0.000
Ca 0.000 0.000 0.394
Ca 0.333 0.667 0.847
Bi 0.333 0.667 0.480
Au 0.005 0.503 0.177
Au 0.328 0.164 0.693
Au 0.497 0.503 0.177
Au 0.497 0.995 0.177
Au 0.667 0.333 0.434
Au 0.667 0.333 0.937
Au 0.836 0.164 0.693
Au 0.836 0.672 0.693

Values from the calculation:
Mass density: 12.0 Mg/m³
Formation energy from the elements: -536 meV per atom
Electronic total energy: -3.54 eV/atom

=====

# 6
Compound: CaSb
Source: the Alexandria database
Functional: GGA-PBE
Structure: relaxed

abc: 14.425 4.024 8.831
angles: 90.00 108.59 90.00
Positions (direct):
Ca 0.000 0.000 0.000
Ca 0.088 0.000 0.539
Ca 0.244 0.000 0.079
Ca 0.500 0.500 0.000
Ca 0.588 0.500 0.539
Ca 0.744 0.500 0.079
Sb 0.109 0.500 0.825
Sb 0.169 0.500 0.319
Sb 0.464 0.000 0.256
Sb 0.609 0.000 0.825
Sb 0.669 0.000 0.319
Sb 0.964 0.500 0.256

Values from the calculation:
Mass density: 3.3 Mg/m³
Electronic total energy: -3.69 eV/atom
Uncorrected formation energy: -1.25 eV/f.u.

=====

Repeat the second record exactly.
Compound: ScZn11Ge
Source: the Alexandria database
Functional: GGA-PBE
Structure: relaxed

abc: 6.812 6.812 6.749
angles: 98.46 98.46 134.64
Positions (direct):
Sc 0.000 0.000 0.000
Zn 0.000 0.500 0.000
Zn 0.004 0.362 0.350
Zn 0.301 0.514 0.792
Zn 0.362 0.004 0.350
Zn 0.486 0.699 0.208
Zn 0.500 0.000 0.000
Zn 0.500 0.500 0.500
Zn 0.514 0.301 0.792
Zn 0.638 0.996 0.650
Zn 0.699 0.486 0.208
Zn 0.996 0.638 0.650
Ge 0.000 0.000 0.500

Values from the calculation:
Mass density: 6.7 Mg/m³
Formation energy from the elements: -56 meV per atom
Electronic total energy: -1.98 eV/atom

=====

> Look up the electronic total energy of the second one.

-1.98 eV/atom